# 1
{
  "formula": "Li2MoPt",
  "functional": "PBE",
  "state": "relaxed",
  "volume_a3_per_cell": 59.7,
  "de_polymorph_ev_per_atom": 0.205,
  "dos_ef_per_ev_fu": 3.9,
  "formation_energy_mev_per_atom": 93,
  "sg": "P4/mmm, No. 123",
  "cell": [[3.692, 0.000, 0.000], [0.000, 3.692, 0.000], [0.000, 0.000, 4.379]],
  "species": ["Li", "Li", "Mo", "Pt"],
  "frac_coords": [[0.000, 0.500, 0.000], [0.500, 0.000, 0.000], [0.000, 0.000, 0.500], [0.500, 0.500, 0.500]]
}

---

# 2
{
  "formula": "LiMoPt",
  "functional": "PBE",
  "state": "relaxed",
  "volume_a3_per_cell": 42.9,
  "de_polymorph_ev_per_atom": 0.151,
  "dos_ef_per_ev_fu": 1.7,
  "formation_energy_mev_per_atom": -132,
  "sg": "P3m1, No. 156",
  "cell": [[4.308, 0.000, 0.000], [-2.154, 3.731, 0.000], [0.000, 0.000, 2.670]],
  "species": ["Li", "Mo", "Pt"],
  "frac_coords": [[0.000, 0.000, 0.000], [0.667, 0.333, 0.384], [0.333, 0.667, 0.766]]
}

---

# 3
{
  "formula": "LiMo2Pt",
  "functional": "PBE",
  "state": "relaxed",
  "volume_a3_per_cell": 59.2,
  "de_polymorph_ev_per_atom": 0.022,
  "dos_ef_per_ev_fu": 3.3,
  "formation_energy_mev_per_atom": -58,
  "sg": "Pm, No. 6",
  "cell": [[2.685, 0.000, 0.000], [0.000, 4.251, 0.000], [-0.689, 0.000, 5.191]],
  "species": ["Li", "Mo", "Mo", "Pt"],
  "frac_coords": [[0.000, 0.000, 0.000], [0.487, 0.000, 0.494], [0.695, 0.500, 0.232], [0.112, 0.500, 0.762]]
}

---

# 4
{
  "formula": "LiMoPt",
  "functional": "PBE",
  "state": "relaxed",
  "volume_a3_per_cell": 51.4,
  "de_polymorph_ev_per_atom": 0.429,
  "dos_ef_per_ev_fu": 3.2,
  "formation_energy_mev_per_atom": 146,
  "sg": "F-43m, No. 216",
  "cell": [[0.000, 2.950, 2.950], [2.950, 0.000, 2.950], [2.950, 2.950, 0.000]],
  "species": ["Li", "Mo", "Pt"],
  "frac_coords": [[0.000, 0.000, 0.000], [0.500, 0.500, 0.500], [0.250, 0.250, 0.250]]
}

---

# 5
{
  "formula": "LiMoPt",
  "functional": "PBE",
  "state": "relaxed",
  "volume_a3_per_cell": 43.8,
  "de_polymorph_ev_per_atom": 0.227,
  "dos_ef_per_ev_fu": 1.8,
  "formation_energy_mev_per_atom": -56,
  "sg": "I4mm, No. 107",
  "cell": [[-1.378, 1.378, 5.762], [1.378, -1.378, 5.762], [1.378, 1.378, -5.762]],
  "species": ["Li", "Mo", "Pt"],
  "frac_coords": [[0.000, 0.000, 0.000], [0.318, 0.318, 0.000], [0.649, 0.649, 0.000]]
}

---

# 6
{
  "formula": "LiMo2Pt",
  "functional": "PBE",
  "state": "relaxed",
  "volume_a3_per_cell": 59.3,
  "de_polymorph_ev_per_atom": 0.126,
  "dos_ef_per_ev_fu": 3.4,
  "formation_energy_mev_per_atom": 46,
  "sg": "F-43m, No. 216",
  "cell": [[0.000, 3.096, 3.096], [3.096, 0.000, 3.096], [3.096, 3.096, 0.000]],
  "species": ["Li", "Mo", "Mo", "Pt"],
  "frac_coords": [[0.000, 0.000, 0.000], [0.500, 0.500, 0.500], [0.750, 0.750, 0.750], [0.250, 0.250, 0.250]]
}

---

# 7
{
  "formula": "LiMoPt6",
  "functional": "PBE",
  "state": "relaxed",
  "volume_a3_per_cell": 120.9,
  "dos_ef_per_ev_fu": 7.0,
  "formation_energy_mev_per_atom": -379,
  "sg": "P4/mmm, No. 123",
  "cell": [[3.942, 0.000, 0.000], [0.000, 3.942, 0.000], [0.000, 0.000, 7.778]],
  "species": ["Li", "Mo", "Pt", "Pt", "Pt", "Pt", "Pt", "Pt"],
  "frac_coords": [[0.000, 0.000, 0.000], [0.000, 0.000, 0.500], [0.000, 0.500, 0.251], [0.000, 0.500, 0.749], [0.500, 0.000, 0.251], [0.500, 0.000, 0.749], [0.500, 0.500, 0.000], [0.500, 0.500, 0.500]]
}

---

# 8
{
  "formula": "LiMo2Pt",
  "functional": "PBE",
  "state": "relaxed",
  "volume_a3_per_cell": 59.7,
  "de_polymorph_ev_per_atom": 0.080,
  "dos_ef_per_ev_fu": 2.5,
  "formation_energy_mev_per_atom": 0,
  "sg": "Cmmm, No. 65",
  "cell": [[2.551, -4.367, 0.000], [2.551, 4.367, 0.000], [0.000, 0.000, 2.679]],
  "species": ["Li", "Mo", "Mo", "Pt"],
  "frac_coords": [[0.000, 0.000, 0.000], [0.000, 0.500, 0.500], [0.500, 0.000, 0.500], [0.500, 0.500, 0.000]]
}